#w
The following is a PBE calculation of a relaxed structure of Bi3TePd, from Alexandria via LeMat-Bulk.

The structure in CIF format:
```
data_Bi3TePd
_symmetry_space_group_name_H-M 'P 1'
_symmetry_Int_Tables_number 1
_cell_length_a 6.6627
_cell_length_b 6.6627
_cell_length_c 7.3171
_cell_angle_alpha 104.37
_cell_angle_beta 104.37
_cell_angle_gamma 86.20
loop_
_symmetry_equiv_pos_as_xyz
'x,y,z'
loop_
_atom_site_label
_atom_site_type_symbol
_atom_site_fract_x
_atom_site_fract_y
_atom_site_fract_z
Bi1 Bi 0.0026 0.0026 0.2837
Bi2 Bi 0.0472 0.5083 0.2385
Bi3 Bi 0.4917 0.9528 0.7615
Bi4 Bi 0.5083 0.0472 0.2385
Bi5 Bi 0.9528 0.4917 0.7615
Bi6 Bi 0.9974 0.9974 0.7163
Te1 Te 0.4406 0.4406 0.7115
Te2 Te 0.5594 0.5594 0.2885
Pd1 Pd 0.3020 0.3020 0.9820
Pd2 Pd 0.6980 0.6980 0.0180
```

#x
The following is a PBE calculation of a relaxed structure of Bi3TePd, from Alexandria via LeMat-Bulk.

The structure in CIF format:
```
data_Bi3TePd
_symmetry_space_group_name_H-M 'P 1'
_symmetry_Int_Tables_number 1
_cell_length_a 5.4146
_cell_length_b 5.4146
_cell_length_c 5.4146
_cell_angle_alpha 90.00
_cell_angle_beta 90.00
_cell_angle_gamma 90.00
loop_
_symmetry_equiv_pos_as_xyz
'x,y,z'
loop_
_atom_site_label
_atom_site_type_symbol
_atom_site_fract_x
_atom_site_fract_y
_atom_site_fract_z
Bi1 Bi 0.0000 0.0000 0.5000
Bi2 Bi 0.0000 0.5000 0.0000
Bi3 Bi 0.5000 0.0000 0.0000
Te1 Te 0.5000 0.5000 0.5000
Pd1 Pd 0.0000 0.0000 0.0000
```

In order of decreasing stability: #w, #x.

#w
The following is a PBE calculation of a relaxed structure of BiTePd6, from Alexandria via LeMat-Bulk.

The structure in CIF format:
```
data_BiTePd6
_symmetry_space_group_name_H-M 'P 1'
_symmetry_Int_Tables_number 1
_cell_length_a 4.8063
_cell_length_b 4.8063
_cell_length_c 7.5692
_cell_angle_alpha 105.80
_cell_angle_beta 105.80
_cell_angle_gamma 70.11
loop_
_symmetry_equiv_pos_as_xyz
'x,y,z'
loop_
_atom_site_label
_atom_site_type_symbol
_atom_site_fract_x
_atom_site_fract_y
_atom_site_fract_z
Bi1 Bi 0.0000 0.0000 0.0000
Te1 Te 0.5000 0.5000 0.5000
Pd1 Pd 0.0589 0.5695 0.2017
Pd2 Pd 0.1510 0.1510 0.4436
Pd3 Pd 0.4305 0.9411 0.7983
Pd4 Pd 0.5695 0.0589 0.2017
Pd5 Pd 0.8490 0.8490 0.5564
Pd6 Pd 0.9411 0.4305 0.7983
```

#x
The following is a PBE calculation of a relaxed structure of BiTePd6, from Alexandria via LeMat-Bulk.

The structure in CIF format:
```
data_BiTePd6
_symmetry_space_group_name_H-M 'P 1'
_symmetry_Int_Tables_number 1
_cell_length_a 4.1066
_cell_length_b 4.1066
_cell_length_c 8.2836
_cell_angle_alpha 90.00
_cell_angle_beta 90.00
_cell_angle_gamma 90.00
loop_
_symmetry_equiv_pos_as_xyz
'x,y,z'
loop_
_atom_site_label
_atom_site_type_symbol
_atom_site_fract_x
_atom_site_fract_y
_atom_site_fract_z
Bi1 Bi 0.0000 0.0000 0.0000
Te1 Te 0.0000 0.0000 0.5000
Pd1 Pd 0.0000 0.5000 0.2522
Pd2 Pd 0.0000 0.5000 0.7478
Pd3 Pd 0.5000 0.0000 0.2522
Pd4 Pd 0.5000 0.0000 0.7478
Pd5 Pd 0.5000 0.5000 0.0000
Pd6 Pd 0.5000 0.5000 0.5000
```

In order of decreasing stability: #x, #w.